DFT (PBEsol) results for a relaxed structure of TcPbSN2.

Output
Total moment   0.0 μB/f.u.
Energy relative to the elements, uncorrected   0.227 eV per atom

Cell lengths 3.8942, 3.8942, 4.9400 Å; angles 90.00, 90.00, 90.00 degrees
With the nearest neighbours (Å) after each atom.
Element x y z (fractional)
1 S 0.0000 0.0000 0.5000  2 Tc 2.47, 4 Pb 2.75
2 N 0.0000 0.5000 0.0000  2 Tc 1.95
3 N 0.5000 0.0000 0.0000  2 Tc 1.95
4 Pb 0.5000 0.5000 0.5000  4 S 2.75
5 Tc 0.0000 0.0000 0.0000  4 N 1.95


DFT (PBEsol) results for a relaxed structure of AlSi2Se.

Output
ΔE to the lowest computed polymorph   0 meV per atom
Total moment   0.0 μB/f.u.
Energy relative to the elements, uncorrected   0.025 eV per atom

Cell lengths 3.3480, 4.1718, 5.1062 Å; angles 90.00, 90.00, 90.01 degrees
With the nearest neighbours (Å) after each atom.
Element x y z (fractional)
1 Se 0.3746 0.6454 0.5000  2 Si 2.49, 2 Al 2.55
2 Si 0.8751 0.1387 0.0000  2 Si 2.56, 4 Al 2.65-2.70
3 Si 0.8748 0.0860 0.5000  2 Se 2.49, 2 Si 2.56
4 Al 0.3755 0.6299 0.0000  2 Se 2.55, 4 Si 2.65-2.70


DFT (PBEsol) results for a relaxed structure of YTaOs.

Output
Formation enthalpy at 0 K   -4.22 kJ per mole of atoms
Total moment   0.0 μB/f.u.

Cell lengths 3.2227, 3.2227, 5.9565 Å; angles 105.70, 105.70, 90.00 degrees
With the nearest neighbours (Å) after each atom.
Element x y z (fractional)
1 Ta 0.6425 0.6425 0.2851  4 Os 2.66
2 Os 0.0185 0.0185 0.0370  4 Ta 2.66
3 Y 0.3390 0.3390 0.6780  4 Os 3.02, 5 Ta 3.14-3.34, 4 Y 3.22


DFT (PBEsol) results for a relaxed structure of Tl2InAg.

Output
Formation enthalpy at 0 K   7.84 kJ per mole of atoms
ΔE to the lowest computed polymorph   46 meV per atom
Total moment   0.0 μB/f.u.

Cell lengths 3.2446, 5.4502, 6.0884 Å; angles 110.05, 105.45, 90.00 degrees
With the nearest neighbours (Å) after each atom.
Element x y z (fractional)
1 Tl 0.9919 0.9766 0.9839  4 Ag 3.13-3.23, 2 Tl 3.24, 3 In 3.33-3.39
2 Tl 0.7768 0.2931 0.5536  2 Ag 3.03, 4 In 3.23, 2 Tl 3.24
3 In 0.2206 0.7499 0.4412  2 Ag 2.88
4 Ag 0.5106 0.4804 0.0212  2 In 2.88, 4 Tl 3.03-3.13


DFT (PBEsol) results for a relaxed structure of BaY2Tc.

Output
Formation enthalpy at 0 K   47.63 kJ per mole of atoms
ΔE to the lowest computed polymorph   0 meV per atom
Total moment   0.0 μB/f.u.

Cell lengths 5.2398, 5.2398, 5.2398 Å; angles 60.00, 60.00, 60.00 degrees
With the nearest neighbours (Å) after each atom.
Element x y z (fractional)
1 Tc 0.5000 0.5000 0.5000  8 Y 3.21
2 Y 0.2500 0.2500 0.2500  4 Ba 3.21, 4 Tc 3.21
3 Y 0.7500 0.7500 0.7500  4 Ba 3.21, 4 Tc 3.21
4 Ba 0.0000 0.0000 0.0000  8 Y 3.21


DFT (PBEsol) results for a relaxed structure of Mg2CoRe.

Output
Formation enthalpy at 0 K   46.76 kJ per mole of atoms
ΔE to the lowest computed polymorph   380 meV per atom
Total moment   2.0 μB/f.u.

Cell lengths 3.7276, 3.7276, 4.9736 Å; angles 112.01, 112.01, 90.00 degrees
With the nearest neighbours (Å) after each atom.
Element x y z (fractional)
1 Mg 0.2500 0.7500 0.5000  4 Mg 2.64, 4 Re 2.81, 4 Co 2.81
2 Mg 0.7500 0.2500 0.5000  4 Mg 2.64, 4 Re 2.81, 4 Co 2.81
3 Co 0.0000 0.0000 0.0000  4 Re 2.64, 8 Mg 2.81
4 Re 0.5000 0.5000 0.0000  4 Co 2.64, 8 Mg 2.81